[1]
{
  "formula": "LaRu2Cl",
  "functional": "PBE",
  "state": "optimized geometry",
  "cell": [[3.3442, 0.0000, 0.0000], [0.0000, 5.5308, 0.0000], [0.0000, 0.0000, 8.1305]],
  "species": ["La", "La", "Ru", "Ru", "Ru", "Ru", "Cl", "Cl"],
  "fractional_positions": [[0.0000, 0.0000, 0.0000], [0.5000, 0.5000, 0.0000], [0.0000, 0.5000, 0.2484], [0.0000, 0.5000, 0.7516], [0.5000, 0.0000, 0.2484], [0.5000, 0.0000, 0.7516], [0.0000, 0.0000, 0.5000], [0.5000, 0.5000, 0.5000]],
  "formation_energy_uncorrected_ev_per_atom": 0.505,
  "dft_energy_ev_per_atom": -5.826,
  "sg": "Cmmm"
}

---

[2]
{
  "formula": "LaRu2Cl",
  "functional": "PBE",
  "state": "optimized geometry",
  "cell": [[3.3930, 0.0000, 0.0000], [0.0000, 5.5007, 0.0000], [-0.0418, 0.0000, 4.3649]],
  "species": ["La", "Ru", "Ru", "Cl"],
  "fractional_positions": [[0.0000, 0.0000, 0.0000], [0.3368, 0.5000, 0.2476], [0.6632, 0.5000, 0.7524], [0.5000, 0.0000, 0.5000]],
  "formation_energy_uncorrected_ev_per_atom": 0.038,
  "dft_energy_ev_per_atom": -6.293,
  "sg": "P2/m"
}

---

[3]
{
  "formula": "LaRu2Cl",
  "functional": "PBE",
  "state": "optimized geometry",
  "cell": [[4.0469, 0.0000, 0.0000], [0.0000, 4.0469, 0.0000], [0.0000, 0.0000, 5.6680]],
  "species": ["La", "Ru", "Ru", "Cl"],
  "fractional_positions": [[0.0000, 0.0000, 0.0000], [0.5000, 0.5000, 0.2011], [0.5000, 0.5000, 0.7989], [0.0000, 0.0000, 0.5000]],
  "formation_energy_uncorrected_ev_per_atom": 0.377,
  "dft_energy_ev_per_atom": -5.954,
  "sg": "P4/mmm"
}

---

[4]
{
  "formula": "LaRuCl2",
  "functional": "PBE",
  "state": "optimized geometry",
  "cell": [[3.4484, 0.0000, 0.0000], [0.0000, 6.2155, 0.0000], [0.0000, 0.0000, 8.6674]],
  "species": ["La", "La", "Ru", "Ru", "Cl", "Cl", "Cl", "Cl"],
  "fractional_positions": [[0.0000, 0.0000, 0.0000], [0.5000, 0.5000, 0.0000], [0.0000, 0.0000, 0.5000], [0.5000, 0.5000, 0.5000], [0.0000, 0.5000, 0.2708], [0.0000, 0.5000, 0.7292], [0.5000, 0.0000, 0.2708], [0.5000, 0.0000, 0.7292]],
  "formation_energy_uncorrected_ev_per_atom": -0.200,
  "dft_energy_ev_per_atom": -4.674,
  "sg": "Cmmm"
}

---

[5]
{
  "formula": "LaRu2Cl",
  "functional": "PBE",
  "state": "optimized geometry",
  "cell": [[3.2082, 0.0000, 0.0000], [0.0000, 3.6636, 0.0000], [-1.4450, 0.0000, 7.9788]],
  "species": ["La", "Ru", "Ru", "Cl"],
  "fractional_positions": [[0.0000, 0.0000, 0.0000], [0.1606, 0.0000, 0.3565], [0.6190, 0.5000, 0.2628], [0.4034, 0.5000, 0.7851]],
  "formation_energy_uncorrected_ev_per_atom": -0.232,
  "dft_energy_ev_per_atom": -6.563,
  "sg": "Pm"
}

---

[6]
{
  "formula": "LaRuCl2",
  "functional": "PBE",
  "state": "optimized geometry",
  "cell": [[10.9388, 0.0000, 0.0000], [0.0000, 3.6414, 0.0000], [-0.1458, 0.0000, 5.5182]],
  "species": ["La", "La", "Ru", "Ru", "Cl", "Cl", "Cl", "Cl"],
  "fractional_positions": [[0.0000, 0.0000, 0.0000], [0.5000, 0.5000, 0.0000], [0.1417, 0.5000, 0.2420], [0.6417, 0.0000, 0.2420], [0.0003, 0.5000, 0.5636], [0.2717, 0.0000, 0.0424], [0.5003, 0.0000, 0.5636], [0.7717, 0.5000, 0.0424]],
  "formation_energy_uncorrected_ev_per_atom": -0.828,
  "dft_energy_ev_per_atom": -5.302,
  "sg": "Cm"
}

---

[7]
{
  "formula": "LaRuCl2",
  "functional": "PBE",
  "state": "optimized geometry",
  "cell": [[4.0935, 0.0000, 0.0000], [0.0000, 4.0935, 0.0000], [0.0000, 0.0000, 10.0472]],
  "species": ["La", "La", "Ru", "Ru", "Cl", "Cl", "Cl", "Cl"],
  "fractional_positions": [[0.0000, 0.0000, 0.0000], [0.5000, 0.5000, 0.5000], [0.0000, 0.5000, 0.7500], [0.5000, 0.0000, 0.2500], [0.0000, 0.0000, 0.5000], [0.0000, 0.5000, 0.2500], [0.5000, 0.0000, 0.7500], [0.5000, 0.5000, 0.0000]],
  "formation_energy_uncorrected_ev_per_atom": -0.541,
  "dft_energy_ev_per_atom": -5.015,
  "sg": "I-4m2"
}

---

[8]
{
  "formula": "LaRuCl2",
  "functional": "PBE",
  "state": "optimized geometry",
  "cell": [[3.4939, 0.0000, 0.0000], [-1.7469, 3.0258, 0.0000], [0.0000, 0.0000, 25.0651]],
  "species": ["La", "La", "La", "Ru", "Ru", "Ru", "Cl", "Cl", "Cl", "Cl", "Cl", "Cl"],
  "fractional_positions": [[0.0000, 0.0000, 0.0000], [0.3333, 0.6667, 0.6667], [0.6667, 0.3333, 0.3333], [0.0000, 0.0000, 0.5000], [0.3333, 0.6667, 0.1667], [0.6667, 0.3333, 0.8333], [0.0000, 0.0000, 0.2451], [0.0000, 0.0000, 0.7549], [0.3333, 0.6667, 0.4216], [0.3333, 0.6667, 0.9117], [0.6667, 0.3333, 0.0883], [0.6667, 0.3333, 0.5784]],
  "formation_energy_uncorrected_ev_per_atom": -0.264,
  "dft_energy_ev_per_atom": -4.738,
  "sg": "R-3m"
}

---

[9]
{
  "formula": "LaRuCl2",
  "functional": "PBE",
  "state": "optimized geometry",
  "cell": [[3.9501, 0.0000, 0.0000], [0.0000, 3.9501, 0.0000], [0.0000, 0.0000, 6.1045]],
  "species": ["La", "Ru", "Cl", "Cl"],
  "fractional_positions": [[0.0000, 0.0000, 0.0000], [0.5000, 0.5000, 0.2071], [0.0000, 0.0000, 0.4651], [0.5000, 0.5000, 0.8186]],
  "formation_energy_uncorrected_ev_per_atom": -0.694,
  "dft_energy_ev_per_atom": -5.168,
  "sg": "P4mm"
}

---

[10]
{
  "formula": "LaRuCl2",
  "functional": "PBE",
  "state": "optimized geometry",
  "cell": [[4.4540, 0.0000, 0.0000], [0.0000, 4.4540, 0.0000], [0.0000, 0.0000, 4.1239]],
  "species": ["La", "Ru", "Cl", "Cl"],
  "fractional_positions": [[0.0000, 0.0000, 0.0000], [0.5000, 0.5000, 0.0000], [0.0000, 0.5000, 0.5000], [0.5000, 0.0000, 0.5000]],
  "formation_energy_uncorrected_ev_per_atom": -0.574,
  "dft_energy_ev_per_atom": -5.048,
  "sg": "P4/mmm"
}

---

[11]
{
  "formula": "LaRu2Cl",
  "functional": "PBE",
  "state": "optimized geometry",
  "cell": [[3.0741, 0.0000, 0.0000], [-1.5370, 2.6622, 0.0000], [0.0000, 0.0000, 27.4525]],
  "species": ["La", "La", "La", "Ru", "Ru", "Ru", "Ru", "Ru", "Ru", "Cl", "Cl", "Cl"],
  "fractional_positions": [[0.0000, 0.0000, 0.0000], [0.3333, 0.6667, 0.6667], [0.6667, 0.3333, 0.3333], [0.0000, 0.0000, 0.2353], [0.0000, 0.0000, 0.5005], [0.3333, 0.6667, 0.1672], [0.3333, 0.6667, 0.9019], [0.6667, 0.3333, 0.5686], [0.6667, 0.3333, 0.8338], [0.0000, 0.0000, 0.7526], [0.3333, 0.6667, 0.4193], [0.6667, 0.3333, 0.0860]],
  "formation_energy_uncorrected_ev_per_atom": 0.242,
  "dft_energy_ev_per_atom": -6.089,
  "sg": "R3m"
}

---

[12]
{
  "formula": "La3RuCl3",
  "functional": "PBE",
  "state": "optimized geometry",
  "cell": [[8.9811, 0.0000, 0.0000], [0.0000, 4.2765, 0.0000], [-0.9610, 0.0000, 11.7861]],
  "species": ["La", "La", "La", "La", "La", "La", "Ru", "Ru", "Cl", "Cl", "Cl", "Cl", "Cl", "Cl"],
  "fractional_positions": [[0.1007, 0.2500, 0.3883], [0.1361, 0.2500, 0.8508], [0.3410, 0.7500, 0.6292], [0.6590, 0.2500, 0.3708], [0.8639, 0.7500, 0.1492], [0.8993, 0.7500, 0.6117], [0.1255, 0.2500, 0.6342], [0.8745, 0.7500, 0.3658], [0.0901, 0.2500, 0.1171], [0.3588, 0.7500, 0.8792], [0.3894, 0.7500, 0.3796], [0.6106, 0.2500, 0.6204], [0.6412, 0.2500, 0.1208], [0.9099, 0.7500, 0.8829]],
  "formation_energy_uncorrected_ev_per_atom": -1.562,
  "dft_energy_ev_per_atom": -5.790,
  "sg": "P2_1/m"
}